Crystalline La2CeCd5 at its relaxed geometry, computed with PBE-GGA.

```
data_La2CeCd5
_cell_length_a 5.2749
_cell_length_b 5.2749
_cell_length_c 15.7716
_cell_angle_alpha 90.00
_cell_angle_beta 90.00
_cell_angle_gamma 90.00
_space_group_name_H-M_alt 'I 4/m m m'
_space_group_IT_number 139
_space_group_name_Hall '-I 4 2'
loop_
_atom_site_label
_atom_site_type_symbol
_atom_site_fract_x
_atom_site_fract_y
_atom_site_fract_z
La1 La 0.0000 0.0000 0.2342
Ce1 Ce 0.0000 0.0000 0.5000
Cd1 Cd 0.0000 0.0000 0.0000
Cd2 Cd 0.0000 0.5000 0.1140
```

Calculated values
E_form ... -269 meV/atom
V ... 27.4 A^3/atom